P:
Compound: LiLa3
Source: Alexandria
Functional: PBEsol
Structure: optimized geometry

```
LiLa3
1.0
3.596 0.000 0.000
0.000 3.596 0.000
0.000 0.000 9.428
Li La
1 3
Direct
0.000 0.000 0.000
0.000 0.000 0.500
0.500 0.500 0.239
0.500 0.500 0.761
```



Q:
Compound: LiLa3
Source: Alexandria
Functional: PBEsol
Structure: optimized geometry

```
LiLa3
1.0
-1.839 5.706 2.910
1.839 -5.706 2.910
1.839 5.706 -2.910
Li La
1 3
Direct
0.000 0.000 0.000
0.238 0.503 0.735
0.501 0.001 0.500
0.768 0.503 0.265
```



Least stable: Q